Entry from Alexandria via LeMat-Bulk: a geometry-optimized AcCeTlPt structure (PBE-GGA).

Output
Its formation energy is -190 kJ/mol of formula units. As for the total moment: 0.2133 μB/atom. As for the space-group type: No. 216. As for the final energy: -20.42 eV/f.u.

Geometry as POSCAR:
```
AcCeTlPt
1.0
5.448 0.000 0.000
2.724 4.718 0.000
2.724 1.573 4.448
Pt Ce Tl Ac
1 1 1 1
Direct
0.750 0.750 0.750
0.000 0.000 0.000
0.250 0.250 0.250
0.500 0.500 0.500
```

=====

Entry from Alexandria via LeMat-Bulk: a geometry-optimized AcCeZnPt structure (PBE-GGA).

Output
Its formation energy is -212 kJ/mol of formula units. As for the total moment: 0.1876 μB/atom. As for the space-group type: No. 216. As for the final energy: -19.56 eV/f.u.

Geometry as POSCAR:
```
AcCeZnPt
1.0
5.266 0.000 0.000
2.633 4.561 0.000
2.633 1.520 4.300
Zn Ce Ac Pt
1 1 1 1
Direct
0.250 0.250 0.250
0.000 0.000 0.000
0.500 0.500 0.500
0.750 0.750 0.750
```

=====

Entry from Alexandria via LeMat-Bulk: a geometry-optimized Ac2CePu structure (PBE-GGA).

Output
Its formation energy is 88 kJ/mol of formula units. As for the total moment: 1.9200 μB/atom. The energy above the most stable polymorph in this dataset is 0.0 meV per atom. As for the space-group type: No. 123. As for the final energy: -27.57 eV/f.u.

Geometry as POSCAR:
```
Ac2CePu
1.0
-2.146 -3.806 -2.901
4.696 -1.058 -2.085
0.928 -3.451 3.841
Ac Pu Ce
2 1 1
Direct
0.000 0.500 0.000
0.000 0.000 0.500
0.500 0.000 0.000
0.500 0.500 0.500
```